BaSrAg2As2 | PBE | optimized geometry

Computed properties:
Its crystal system is trigonal. The total energy is -23.3 eV for the cell shown. As for the space group: No. 164. For the calculated formation energy, the calculation gives -790 meV/atom.

Cell and atoms, written as CIF:
```
data_BaSrAg2As2
_symmetry_space_group_name_H-M 'P 1'
_symmetry_Int_Tables_number 1
_cell_length_a 4.624
_cell_length_b 4.624
_cell_length_c 8.754
_cell_angle_alpha 90.00
_cell_angle_beta 90.00
_cell_angle_gamma 120.00
loop_
_symmetry_equiv_pos_as_xyz
'x,y,z'
loop_
_atom_site_label
_atom_site_type_symbol
_atom_site_fract_x
_atom_site_fract_y
_atom_site_fract_z
Sr1 Sr 0.000 0.000 0.500
Ag1 Ag 0.667 0.333 0.268
Ag2 Ag 0.333 0.667 0.732
As1 As 0.667 0.333 0.740
As2 As 0.333 0.667 0.260
Ba1 Ba 0.000 0.000 0.000
```

BaVAgAs2 | PBE | optimized geometry

Computed properties:
Its crystal system is tetragonal. The total energy is -15.1 eV for the cell shown. As for the space group: No. 123. For the calculated formation energy, the calculation gives 1614 meV/atom.

Cell and atoms, written as CIF:
```
data_BaVAgAs2
_symmetry_space_group_name_H-M 'P 1'
_symmetry_Int_Tables_number 1
_cell_length_a 5.765
_cell_length_b 5.643
_cell_length_c 5.765
_cell_angle_alpha 90.00
_cell_angle_beta 90.00
_cell_angle_gamma 90.00
loop_
_symmetry_equiv_pos_as_xyz
'x,y,z'
loop_
_atom_site_label
_atom_site_type_symbol
_atom_site_fract_x
_atom_site_fract_y
_atom_site_fract_z
Ba1 Ba 0.000 0.000 0.000
As1 As 0.000 0.000 0.500
As2 As 0.500 0.000 0.000
Ag1 Ag 0.500 0.500 0.500
V1 V 0.000 0.500 0.000
```

BaV2AgAs | PBE | optimized geometry

Computed properties:
Its crystal system is tetragonal. The total energy is -25.5 eV for the cell shown. As for the space group: No. 123. For the calculated formation energy, the calculation gives 430 meV/atom.

Cell and atoms, written as CIF:
```
data_BaV2AgAs
_symmetry_space_group_name_H-M 'P 1'
_symmetry_Int_Tables_number 1
_cell_length_a 4.947
_cell_length_b 5.335
_cell_length_c 4.947
_cell_angle_alpha 90.00
_cell_angle_beta 90.00
_cell_angle_gamma 90.00
loop_
_symmetry_equiv_pos_as_xyz
'x,y,z'
loop_
_atom_site_label
_atom_site_type_symbol
_atom_site_fract_x
_atom_site_fract_y
_atom_site_fract_z
As1 As 0.000 0.000 0.000
Ba1 Ba 0.500 0.500 0.500
Ag1 Ag 0.000 0.500 0.000
V1 V 0.000 0.000 0.500
V2 V 0.500 0.000 0.000
```

BeAgAs2 | PBE | optimized geometry

Computed properties:
Its crystal system is orthorhombic. The total energy is -14.6 eV for the cell shown. As for the space group: No. 65. For the calculated formation energy, the calculation gives 308 meV/atom.

Cell and atoms, written as CIF:
```
data_BeAgAs2
_symmetry_space_group_name_H-M 'P 1'
_symmetry_Int_Tables_number 1
_cell_length_a 3.058
_cell_length_b 3.058
_cell_length_c 7.572
_cell_angle_alpha 90.00
_cell_angle_beta 90.00
_cell_angle_gamma 106.99
loop_
_symmetry_equiv_pos_as_xyz
'x,y,z'
loop_
_atom_site_label
_atom_site_type_symbol
_atom_site_fract_x
_atom_site_fract_y
_atom_site_fract_z
As1 As 0.000 0.000 0.052
As2 As 0.000 0.000 0.448
Be1 Be 0.500 0.500 0.250
Ag1 Ag 0.500 0.500 0.750
```

BeAgAs | PBE | optimized geometry

Computed properties:
Its crystal system is monoclinic. The total energy is -21.9 eV for the cell shown. As for the space group: No. 12. For the calculated formation energy, the calculation gives 98 meV/atom.

Cell and atoms, written as CIF:
```
data_BeAgAs
_symmetry_space_group_name_H-M 'P 1'
_symmetry_Int_Tables_number 1
_cell_length_a 3.875
_cell_length_b 3.875
_cell_length_c 8.631
_cell_angle_alpha 81.54
_cell_angle_beta 111.38
_cell_angle_gamma 121.05
loop_
_symmetry_equiv_pos_as_xyz
'x,y,z'
loop_
_atom_site_label
_atom_site_type_symbol
_atom_site_fract_x
_atom_site_fract_y
_atom_site_fract_z
As1 As 0.750 0.916 0.666
As2 As 0.250 0.084 0.334
Ag1 Ag 0.757 0.353 0.110
Ag2 Ag 0.243 0.647 0.890
Be1 Be 0.373 0.243 0.616
Be2 Be 0.627 0.757 0.384
```

BeAgAs2 | PBE | optimized geometry

Computed properties:
Its crystal system is tetragonal. The total energy is -30.2 eV for the cell shown. As for the space group: No. 122. For the calculated formation energy, the calculation gives 199 meV/atom.

Cell and atoms, written as CIF:
```
data_BeAgAs2
_symmetry_space_group_name_H-M 'P 1'
_symmetry_Int_Tables_number 1
_cell_length_a 4.732
_cell_length_b 4.732
_cell_length_c 7.790
_cell_angle_alpha 72.32
_cell_angle_beta 72.32
_cell_angle_gamma 90.00
loop_
_symmetry_equiv_pos_as_xyz
'x,y,z'
loop_
_atom_site_label
_atom_site_type_symbol
_atom_site_fract_x
_atom_site_fract_y
_atom_site_fract_z
Ag1 Ag 0.000 0.000 0.000
Ag2 Ag 0.750 0.250 0.500
Be1 Be 0.250 0.750 0.500
Be2 Be 0.500 0.500 0.000
As1 As 0.375 0.467 0.750
As2 As 0.533 0.125 0.250
As3 As 0.217 0.625 0.250
As4 As 0.875 0.783 0.750
```

BeAgAs | PBE | optimized geometry

Computed properties:
Its crystal system is hexagonal. The total energy is -21.9 eV for the cell shown. As for the space group: No. 194. For the calculated formation energy, the calculation gives 91 meV/atom.

Cell and atoms, written as CIF:
```
data_BeAgAs
_symmetry_space_group_name_H-M 'P 1'
_symmetry_Int_Tables_number 1
_cell_length_a 3.807
_cell_length_b 3.807
_cell_length_c 8.119
_cell_angle_alpha 90.00
_cell_angle_beta 90.00
_cell_angle_gamma 120.00
loop_
_symmetry_equiv_pos_as_xyz
'x,y,z'
loop_
_atom_site_label
_atom_site_type_symbol
_atom_site_fract_x
_atom_site_fract_y
_atom_site_fract_z
Ag1 Ag 0.000 0.000 0.000
Ag2 Ag 0.000 0.000 0.500
Be1 Be 0.333 0.667 0.250
Be2 Be 0.667 0.333 0.750
As1 As 0.333 0.667 0.750
As2 As 0.667 0.333 0.250
```

BeAgAs2 | PBE | optimized geometry

Computed properties:
Its crystal system is orthorhombic. The total energy is -14.9 eV for the cell shown. As for the space group: No. 71. For the calculated formation energy, the calculation gives 245 meV/atom.

Cell and atoms, written as CIF:
```
data_BeAgAs2
_symmetry_space_group_name_H-M 'P 1'
_symmetry_Int_Tables_number 1
_cell_length_a 5.818
_cell_length_b 5.818
_cell_length_c 5.818
_cell_angle_alpha 143.95
_cell_angle_beta 135.70
_cell_angle_gamma 58.38
loop_
_symmetry_equiv_pos_as_xyz
'x,y,z'
loop_
_atom_site_label
_atom_site_type_symbol
_atom_site_fract_x
_atom_site_fract_y
_atom_site_fract_z
Ag1 Ag 0.250 0.750 0.500
As1 As 0.893 0.893 0.000
As2 As 0.607 0.607 0.000
Be1 Be 0.750 0.250 0.500
```

BeAgAs2 | PBE | optimized geometry

Computed properties:
Its crystal system is tetragonal. The total energy is -14.0 eV for the cell shown. As for the space group: No. 123. For the calculated formation energy, the calculation gives 468 meV/atom.

Cell and atoms, written as CIF:
```
data_BeAgAs2
_symmetry_space_group_name_H-M 'P 1'
_symmetry_Int_Tables_number 1
_cell_length_a 4.995
_cell_length_b 4.995
_cell_length_c 2.751
_cell_angle_alpha 90.00
_cell_angle_beta 90.00
_cell_angle_gamma 90.01
loop_
_symmetry_equiv_pos_as_xyz
'x,y,z'
loop_
_atom_site_label
_atom_site_type_symbol
_atom_site_fract_x
_atom_site_fract_y
_atom_site_fract_z
Be1 Be 0.500 0.000 0.500
As1 As 0.500 0.500 0.000
As2 As 0.000 0.000 0.000
Ag1 Ag 0.000 0.500 0.500
```

BeAgAs2 | PBE | optimized geometry

Computed properties:
Its crystal system is cubic. The total energy is -13.5 eV for the cell shown. As for the space group: No. 216. For the calculated formation energy, the calculation gives 588 meV/atom.

Cell and atoms, written as CIF:
```
data_BeAgAs2
_symmetry_space_group_name_H-M 'P 1'
_symmetry_Int_Tables_number 1
_cell_length_a 4.600
_cell_length_b 4.600
_cell_length_c 4.600
_cell_angle_alpha 60.00
_cell_angle_beta 60.00
_cell_angle_gamma 60.00
loop_
_symmetry_equiv_pos_as_xyz
'x,y,z'
loop_
_atom_site_label
_atom_site_type_symbol
_atom_site_fract_x
_atom_site_fract_y
_atom_site_fract_z
Be1 Be 0.750 0.750 0.750
As1 As 0.000 0.000 0.000
As2 As 0.250 0.250 0.250
Ag1 Ag 0.500 0.500 0.500
```

BeAgAs | PBE | optimized geometry

Computed properties:
Its crystal system is orthorhombic. The total energy is -42.9 eV for the cell shown. As for the space group: No. 62. For the calculated formation energy, the calculation gives 168 meV/atom.

Cell and atoms, written as CIF:
```
data_BeAgAs
_symmetry_space_group_name_H-M 'P 1'
_symmetry_Int_Tables_number 1
_cell_length_a 8.748
_cell_length_b 4.771
_cell_length_c 5.291
_cell_angle_alpha 90.00
_cell_angle_beta 90.00
_cell_angle_gamma 90.00
loop_
_symmetry_equiv_pos_as_xyz
'x,y,z'
loop_
_atom_site_label
_atom_site_type_symbol
_atom_site_fract_x
_atom_site_fract_y
_atom_site_fract_z
Ag1 Ag 0.580 0.250 0.904
Ag2 Ag 0.920 0.750 0.404
Ag3 Ag 0.420 0.750 0.096
Ag4 Ag 0.080 0.250 0.596
As1 As 0.334 0.250 0.279
As2 As 0.666 0.750 0.721
As3 As 0.166 0.750 0.779
As4 As 0.834 0.250 0.221
Be1 Be 0.000 0.000 0.000
Be2 Be 0.500 0.000 0.500
Be3 Be 0.500 0.500 0.500
Be4 Be 0.000 0.500 0.000
```

BeAgAs | PBE | optimized geometry

Computed properties:
Its crystal system is orthorhombic. The total energy is -44.7 eV for the cell shown. As for the space group: No. 62. For the calculated formation energy, the calculation gives 19 meV/atom.

Cell and atoms, written as CIF:
```
data_BeAgAs
_symmetry_space_group_name_H-M 'P 1'
_symmetry_Int_Tables_number 1
_cell_length_a 8.421
_cell_length_b 3.832
_cell_length_c 6.648
_cell_angle_alpha 90.00
_cell_angle_beta 90.00
_cell_angle_gamma 90.00
loop_
_symmetry_equiv_pos_as_xyz
'x,y,z'
loop_
_atom_site_label
_atom_site_type_symbol
_atom_site_fract_x
_atom_site_fract_y
_atom_site_fract_z
Be1 Be 0.769 0.750 0.804
Be2 Be 0.231 0.250 0.196
Be3 Be 0.731 0.250 0.304
Be4 Be 0.269 0.750 0.696
As1 As 0.771 0.750 0.469
As2 As 0.271 0.750 0.031
As3 As 0.229 0.250 0.531
As4 As 0.729 0.250 0.969
Ag1 Ag 0.526 0.250 0.665
Ag2 Ag 0.974 0.750 0.165
Ag3 Ag 0.026 0.250 0.835
Ag4 Ag 0.474 0.750 0.335
```